(1)
Below is a PBEsol-optimized structure of RbCoN2O, with properties calculated at the meta-GGA SCAN level.

```
RbCoN2O
1.0
4.964 0.000 0.000
0.000 4.964 0.000
0.000 0.000 4.323
Rb Co N O
1 1 2 1
Direct
0.000 0.000 0.000
0.500 0.500 0.500
0.000 0.500 0.000
0.500 0.000 0.000
0.000 0.000 0.500
```

Values from the calculation:
N(E_F) (states/eV/cell): 1.8
E_form (uncorrected) (eV per formula unit): 12.8
Mass density (g/cm3): 2.9
SG: P4/mmm

=====

(2)
Below is a PBEsol-optimized structure of CoRhNO2, with properties calculated at the meta-GGA SCAN level.

```
CoRhNO2
1.0
3.930 0.000 0.000
0.000 3.930 0.000
0.000 0.000 3.597
Co Rh N O
1 1 1 2
Direct
0.000 0.000 0.000
0.500 0.500 0.500
0.500 0.500 0.000
0.000 0.500 0.500
0.500 0.000 0.500
```

Values from the calculation:
N(E_F) (states/eV/cell): 1.9
E_form (uncorrected) (eV per formula unit): 1.7
Mass density (g/cm3): 6.2
SG: P4/mmm

=====

(3)
Below is a PBEsol-optimized structure of CoSnN2O, with properties calculated at the meta-GGA SCAN level.

```
CoSnN2O
1.0
3.621 0.000 0.000
0.000 3.621 0.000
0.000 0.000 3.957
Co Sn N O
1 1 2 1
Direct
0.000 0.000 0.000
0.500 0.500 0.500
0.000 0.500 0.000
0.500 0.000 0.000
0.000 0.000 0.500
```

Values from the calculation:
N(E_F) (states/eV/cell): 4.1
E_form (uncorrected) (eV per formula unit): 2.6
Mass density (g/cm3): 7.1
SG: P4/mmm

=====

(4)
Below is a PBEsol-optimized structure of TaCoNO2, with properties calculated at the meta-GGA SCAN level.

```
TaCoNO2
1.0
3.531 0.000 0.000
0.000 3.531 0.000
0.000 0.000 3.684
Ta Co N O
1 1 1 2
Direct
0.000 0.000 0.000
0.500 0.500 0.500
0.500 0.500 0.000
0.000 0.500 0.500
0.500 0.000 0.500
```

Values from the calculation:
N(E_F) (states/eV/cell): 2.2
E_form (uncorrected) (eV per formula unit): -2.3
Mass density (g/cm3): 10.3
SG: P4/mmm

=====

(5)
Below is a PBEsol-optimized structure of YCoNO2, with properties calculated at the meta-GGA SCAN level.

```
YCoNO2
1.0
3.828 0.000 0.000
0.000 3.828 0.000
0.000 0.000 3.455
Y Co N O
1 1 1 2
Direct
0.000 0.000 0.000
0.500 0.500 0.500
0.500 0.500 0.000
0.000 0.500 0.500
0.500 0.000 0.500
```

Values from the calculation:
N(E_F) (states/eV/cell): 1.7
E_form (uncorrected) (eV per formula unit): -8.3
Mass density (g/cm3): 6.4
SG: P4/mmm

=====

(6)
Below is a PBEsol-optimized structure of Co3OsN, with properties calculated at the meta-GGA SCAN level.

```
Co3OsN
1.0
3.725 0.000 0.000
0.000 3.725 0.000
0.000 0.000 3.725
Co Os N
3 1 1
Direct
0.000 0.000 0.500
0.000 0.500 0.000
0.500 0.000 0.000
0.500 0.500 0.500
0.000 0.000 0.000
```

Values from the calculation:
N(E_F) (states/eV/cell): 4.1
E_form (uncorrected) (eV per formula unit): 1.8
Mass density (g/cm3): 12.2
SG: Pm-3m

=====

(7)
Below is a PBEsol-optimized structure of Co2OsN2, with properties calculated at the meta-GGA SCAN level.

```
Co2OsN2
1.0
-1.479 1.479 5.514
1.479 -1.479 5.514
1.479 1.479 -5.514
Co Os N
2 1 2
Direct
0.146 0.146 0.000
0.854 0.854 0.000
0.500 0.500 0.000
0.250 0.750 0.500
0.750 0.250 0.500
```

Values from the calculation:
N(E_F) (states/eV/cell): 3.2
E_form (uncorrected) (eV per formula unit): 5.2
Mass density (g/cm3): 11.6
SG: I4/mmm

=====

(8)
Below is a PBEsol-optimized structure of CoOsS2N, with properties calculated at the meta-GGA SCAN level.

```
CoOsS2N
1.0
4.725 0.000 0.000
0.000 4.725 0.000
0.000 0.000 3.624
Co Os S N
1 1 2 1
Direct
0.000 0.000 0.000
0.500 0.500 0.500
0.000 0.500 0.500
0.500 0.000 0.500
0.500 0.500 0.000
```

Values from the calculation:
N(E_F) (states/eV/cell): 2.4
E_form (uncorrected) (eV per formula unit): 3.4
Mass density (g/cm3): 6.7
SG: P4/mmm

=====

(9)
Below is a PBEsol-optimized structure of CoOsSeN2, with properties calculated at the meta-GGA SCAN level.

```
CoOsSeN2
1.0
3.548 0.000 0.000
0.000 3.548 0.000
0.000 0.000 4.908
Co Os Se N
1 1 1 2
Direct
0.000 0.000 0.000
0.500 0.500 0.500
0.000 0.000 0.500
0.000 0.500 0.000
0.500 0.000 0.000
```

Values from the calculation:
N(E_F) (states/eV/cell): 5.2
E_form (uncorrected) (eV per formula unit): 8.3
Mass density (g/cm3): 9.6
SG: P4/mmm

=====

(10)
Below is a PBEsol-optimized structure of CoP3N, with properties calculated at the meta-GGA SCAN level.

```
CoP3N
1.0
4.182 0.000 0.000
0.000 4.182 0.000
0.000 0.000 4.182
Co P N
1 3 1
Direct
0.000 0.000 0.000
0.000 0.000 0.500
0.000 0.500 0.000
0.500 0.000 0.000
0.500 0.500 0.500
```

Values from the calculation:
N(E_F) (states/eV/cell): 3.6
E_form (uncorrected) (eV per formula unit): 8.0
Mass density (g/cm3): 3.8
SG: Pm-3m

=====

(11)
Below is a PBEsol-optimized structure of CoPN2, with properties calculated at the meta-GGA SCAN level.

```
CoPN2
1.0
1.399 0.808 5.387
-1.399 0.808 5.387
0.000 -1.616 5.387
Co P N
1 1 2
Direct
0.000 0.000 0.000
0.500 0.500 0.500
0.396 0.396 0.396
0.604 0.604 0.604
```

Values from the calculation:
N(E_F) (states/eV/cell): 2.1
E_form (uncorrected) (eV per formula unit): 0.9
Mass density (g/cm3): 5.4
SG: R-3m

=====

(12)
Below is a PBEsol-optimized structure of CoPbN2, with properties calculated at the meta-GGA SCAN level.

```
CoPbN2
1.0
1.705 0.984 5.935
-1.705 0.984 5.935
0.000 -1.969 5.935
Co Pb N
1 1 2
Direct
0.000 0.000 0.000
0.500 0.500 0.500
0.098 0.098 0.098
0.902 0.902 0.902
```

Values from the calculation:
N(E_F) (states/eV/cell): 2.6
E_form (uncorrected) (eV per formula unit): 3.9
Mass density (g/cm3): 8.2
SG: R-3m